This record from the Alexandria database describes an optimized crystal structure of Cs2Sb3. The functional is GGA-PBE.

space group = Fdd2
ΔE to the lowest computed polymorph = 10.8 meV per atom
crystal system = orthorhombic

a b c (Å): 7.4600 7.4063 9.8287
angles (deg): 78.98 67.70 59.76
Fractional coordinates of all 10 atoms:
Cs: 0.4834 0.3437 0.8891
Cs: 0.7162 0.6563 0.1109
Cs: 0.1225 0.8437 0.6109
Cs: 0.5771 0.1563 0.3891
Sb: 0.5370 0.8546 0.7606
Sb: 0.1522 0.1454 0.2394
Sb: 0.0475 0.3546 0.7394
Sb: 0.1416 0.6454 0.2606
Sb: 0.1113 0.0000 0.0000
Sb: 0.8613 0.5000 0.5000


This record from the Alexandria database describes an optimized crystal structure of CsSb5. The functional is GGA-PBE.

space group = Cmmm
crystal system = orthorhombic

a b c (Å): 4.1059 6.4565 8.6426
angles (deg): 111.93 90.00 90.00
Fractional coordinates of all 6 atoms:
Cs: 0.0000 0.0000 0.0000
Sb: 0.0000 0.6423 0.2847
Sb: 0.0000 0.3577 0.7153
Sb: 0.5000 0.5000 0.0000
Sb: 0.5000 0.2270 0.4541
Sb: 0.5000 0.7730 0.5459


This record from the Alexandria database describes an optimized crystal structure of CsSb6. The functional is GGA-PBE.

space group = Im-3m
crystal system = cubic

a b c (Å): 7.4111 7.4111 7.4111
angles (deg): 109.47 109.47 109.47
Fractional coordinates of all 7 atoms:
Cs: 0.0000 0.0000 0.0000
Sb: 0.2500 0.7500 0.5000
Sb: 0.5000 0.7500 0.2500
Sb: 0.2500 0.5000 0.7500
Sb: 0.7500 0.2500 0.5000
Sb: 0.5000 0.2500 0.7500
Sb: 0.7500 0.5000 0.2500


This record from the Alexandria database describes an optimized crystal structure of Cs3Sb. The functional is GGA-PBE.

space group = P4mm
crystal system = tetragonal

a b c (Å): 5.9604 5.9637 5.9656
angles (deg): 90.00 90.00 90.00
Fractional coordinates of all 4 atoms:
Cs: 0.0000 0.5000 0.4157
Cs: 0.5000 0.0000 0.4171
Cs: 0.5000 0.5000 0.9160
Sb: 0.0000 0.0000 0.9177


This record from the Alexandria database describes an optimized crystal structure of CsSc3Sb. The functional is GGA-PBE.

space group = Pm-3m
ΔE to the lowest computed polymorph = 0.0 meV per atom
crystal system = cubic

a b c (Å): 5.6655 5.6655 5.6655
angles (deg): 90.00 90.00 90.00
Fractional coordinates of all 5 atoms:
Cs: 0.5000 0.5000 0.5000
Sb: 0.0000 0.0000 0.0000
Sc: 0.0000 0.5000 0.0000
Sc: 0.0000 0.0000 0.5000
Sc: 0.5000 0.0000 0.0000


This record from the Alexandria database describes an optimized crystal structure of CsSc3Sb. The functional is GGA-PBE.

space group = Pm-3m
ΔE to the lowest computed polymorph = 882.0 meV per atom
crystal system = cubic

a b c (Å): 5.2525 5.2525 5.2525
angles (deg): 90.00 90.00 90.00
Fractional coordinates of all 5 atoms:
Cs: 0.0000 0.0000 0.0000
Sb: 0.5000 0.5000 0.5000
Sc: 0.0000 0.5000 0.0000
Sc: 0.0000 0.0000 0.5000
Sc: 0.5000 0.0000 0.0000


This record from the Alexandria database describes an optimized crystal structure of CsSc2Sb2. The functional is GGA-PBE.

space group = P4/mbm
ΔE to the lowest computed polymorph = 95.3 meV per atom
crystal system = tetragonal

a b c (Å): 9.2718 9.2718 3.3695
angles (deg): 90.00 90.00 90.00
Fractional coordinates of all 10 atoms:
Cs: 0.0000 0.0000 0.0000
Cs: 0.5000 0.5000 0.0000
Sb: 0.3526 0.8526 0.0000
Sb: 0.8526 0.6474 0.0000
Sb: 0.6474 0.1474 0.0000
Sb: 0.1474 0.3526 0.0000
Sc: 0.1332 0.6332 0.5000
Sc: 0.6332 0.8668 0.5000
Sc: 0.8668 0.3668 0.5000
Sc: 0.3668 0.1332 0.5000


This record from the Alexandria database describes an optimized crystal structure of Cs3ScSb. The functional is GGA-PBE.

space group = Pm-3m
crystal system = cubic

a b c (Å): 7.4212 7.4212 7.4212
angles (deg): 90.00 90.00 90.00
Fractional coordinates of all 5 atoms:
Cs: 0.0000 0.5000 0.0000
Cs: 0.0000 0.0000 0.5000
Cs: 0.5000 0.0000 0.0000
Sb: 0.0000 0.0000 0.0000
Sc: 0.5000 0.5000 0.5000


This record from the Alexandria database describes an optimized crystal structure of Cs2ScSb2. The functional is GGA-PBE.

space group = P4/mbm
ΔE to the lowest computed polymorph = 0.0 meV per atom
crystal system = tetragonal

a b c (Å): 7.7737 7.7737 6.5403
angles (deg): 90.00 90.00 90.00
Fractional coordinates of all 10 atoms:
Cs: 0.6717 0.1717 0.5000
Cs: 0.8283 0.6717 0.5000
Cs: 0.3283 0.8283 0.5000
Cs: 0.1717 0.3283 0.5000
Sc: 0.0000 0.0000 0.0000
Sc: 0.5000 0.5000 0.0000
Sb: 0.8661 0.3661 0.0000
Sb: 0.6339 0.8661 0.0000
Sb: 0.1339 0.6339 0.0000
Sb: 0.3661 0.1339 0.0000


This record from the Alexandria database describes an optimized crystal structure of Cs2ScSb2. The functional is GGA-PBE.

space group = I4/mmm
ΔE to the lowest computed polymorph = 676.8 meV per atom
crystal system = tetragonal

a b c (Å): 4.2751 4.2751 13.5820
angles (deg): 80.95 80.95 90.00
Fractional coordinates of all 5 atoms:
Cs: 0.3753 0.3753 0.2494
Cs: 0.6247 0.6247 0.7506
Sb: 0.7500 0.2500 0.5000
Sb: 0.2500 0.7500 0.5000
Sc: 0.0000 0.0000 0.0000


This record from the Alexandria database describes an optimized crystal structure of CsSc2Sb2. The functional is GGA-PBE.

space group = P4/mbm
ΔE to the lowest computed polymorph = 0.0 meV per atom
crystal system = tetragonal

a b c (Å): 8.8973 8.8973 3.5855
angles (deg): 90.00 90.00 90.00
Fractional coordinates of all 10 atoms:
Cs: 0.0000 0.0000 0.0000
Cs: 0.5000 0.5000 0.0000
Sc: 0.8787 0.3787 0.0000
Sc: 0.6213 0.8787 0.0000
Sc: 0.1213 0.6213 0.0000
Sc: 0.3787 0.1213 0.0000
Sb: 0.6593 0.1593 0.5000
Sb: 0.8407 0.6593 0.5000
Sb: 0.3407 0.8407 0.5000
Sb: 0.1593 0.3407 0.5000


This record from the Alexandria database describes an optimized crystal structure of Cs3ScSb2. The functional is GGA-PBE.

space group = C2/m
crystal system = monoclinic

a b c (Å): 10.7821 10.7821 12.9898
angles (deg): 65.84 65.84 27.59
Fractional coordinates of all 12 atoms:
Cs: 0.0564 0.0564 0.7727
Cs: 0.9436 0.9436 0.2273
Cs: 0.6715 0.6715 0.9843
Cs: 0.3285 0.3285 0.0157
Cs: 0.7806 0.7806 0.6036
Cs: 0.2194 0.2194 0.3964
Sc: 0.4355 0.4355 0.6489
Sc: 0.5645 0.5645 0.3511
Sb: 0.8787 0.8787 0.7832
Sb: 0.1213 0.1213 0.2168
Sb: 0.5869 0.5869 0.5554
Sb: 0.4131 0.4131 0.4446


This record from the Alexandria database describes an optimized crystal structure of Cs2Sc2Sb2Se. The functional is GGA-PBE.

space group = I4/mmm
crystal system = tetragonal

a b c (Å): 5.1154 5.1154 10.4217
angles (deg): 104.21 104.21 90.00
Fractional coordinates of all 7 atoms:
Cs: 0.1805 0.1805 0.3610
Cs: 0.8195 0.8195 0.6390
Sc: 0.0000 0.5000 0.0000
Sc: 0.5000 0.0000 0.0000
Sb: 0.4036 0.4036 0.8072
Sb: 0.5964 0.5964 0.1928
Se: 0.0000 0.0000 0.0000


This record from the Alexandria database describes an optimized crystal structure of CsScSbTe2. The functional is GGA-PBE.

space group = P4/mmm
ΔE to the lowest computed polymorph = 1729.6 meV per atom
crystal system = tetragonal

a b c (Å): 6.1761 6.1761 6.0686
angles (deg): 90.00 90.00 90.00
Fractional coordinates of all 5 atoms:
Cs: 0.0000 0.0000 0.0000
Sb: 0.0000 0.0000 0.5000
Te: 0.0000 0.5000 0.0000
Te: 0.5000 0.0000 0.0000
Sc: 0.5000 0.5000 0.5000


This record from the Alexandria database describes an optimized crystal structure of CsScSbTe2. The functional is GGA-PBE.

space group = P4/mmm
ΔE to the lowest computed polymorph = 0.0 meV per atom
crystal system = tetragonal

a b c (Å): 5.7466 5.7466 5.6213
angles (deg): 90.00 90.00 90.00
Fractional coordinates of all 5 atoms:
Cs: 0.5000 0.5000 0.5000
Sb: 0.0000 0.0000 0.5000
Te: 0.0000 0.5000 0.0000
Te: 0.5000 0.0000 0.0000
Sc: 0.0000 0.0000 0.0000


This record from the Alexandria database describes an optimized crystal structure of CsScSb2Te. The functional is GGA-PBE.

space group = P4/mmm
ΔE to the lowest computed polymorph = 0.0 meV per atom
crystal system = tetragonal

a b c (Å): 5.6301 5.6301 5.7767
angles (deg): 90.00 90.00 90.00
Fractional coordinates of all 5 atoms:
Cs: 0.5000 0.5000 0.5000
Sb: 0.0000 0.5000 0.0000
Sb: 0.5000 0.0000 0.0000
Te: 0.0000 0.0000 0.5000
Sc: 0.0000 0.0000 0.0000


This record from the Alexandria database describes an optimized crystal structure of CsSc2SbTe. The functional is GGA-PBE.

space group = P4/mmm
crystal system = tetragonal

a b c (Å): 5.4863 5.7646 5.4863
angles (deg): 90.00 90.00 90.00
Fractional coordinates of all 5 atoms:
Cs: 0.0000 0.0000 0.0000
Sb: 0.0000 0.5000 0.0000
Te: 0.5000 0.5000 0.5000
Sc: 0.0000 0.0000 0.5000
Sc: 0.5000 0.0000 0.0000


This record from the Alexandria database describes an optimized crystal structure of Cs2Sc2SbTe2. The functional is GGA-PBE.

space group = I4/mmm
crystal system = tetragonal

a b c (Å): 5.4100 5.4100 10.3491
angles (deg): 105.15 105.15 90.00
Fractional coordinates of all 7 atoms:
Cs: 0.1851 0.1851 0.3701
Cs: 0.8149 0.8149 0.6299
Sc: 0.0000 0.5000 0.0000
Sc: 0.5000 0.0000 0.0000
Sb: 0.0000 0.0000 0.0000
Te: 0.3995 0.3995 0.7990
Te: 0.6005 0.6005 0.2010


This record from the Alexandria database describes an optimized crystal structure of CsScSb2Te. The functional is GGA-PBE.

space group = P4/mmm
ΔE to the lowest computed polymorph = 1693.9 meV per atom
crystal system = tetragonal

a b c (Å): 6.0063 6.0063 6.1288
angles (deg): 90.00 90.00 90.00
Fractional coordinates of all 5 atoms:
Cs: 0.0000 0.0000 0.0000
Sb: 0.0000 0.5000 0.0000
Sb: 0.5000 0.0000 0.0000
Te: 0.0000 0.0000 0.5000
Sc: 0.5000 0.5000 0.5000


This record from the Alexandria database describes an optimized crystal structure of CsSb3Se. The functional is GGA-PBE.

space group = Pm-3m
ΔE to the lowest computed polymorph = 1471.1 meV per atom
crystal system = cubic

a b c (Å): 6.2079 6.2079 6.2079
angles (deg): 90.00 90.00 90.00
Fractional coordinates of all 5 atoms:
Cs: 0.0000 0.0000 0.0000
Sb: 0.0000 0.5000 0.0000
Sb: 0.0000 0.0000 0.5000
Sb: 0.5000 0.0000 0.0000
Se: 0.5000 0.5000 0.5000


This record from the Alexandria database describes an optimized crystal structure of Cs4SbSe5. The functional is GGA-PBE.

space group = I4
crystal system = tetragonal

a b c (Å): 7.3432 8.6772 8.6772
angles (deg): 79.69 64.97 64.97
Fractional coordinates of all 10 atoms:
Cs: 0.4102 0.3889 0.7974
Cs: 0.7991 0.7974 0.6111
Cs: 0.2075 0.2026 0.3889
Cs: 0.5965 0.6111 0.2026
Sb: 0.0808 0.0000 0.0000
Se: 0.9266 0.2913 0.8513
Se: 0.2179 0.8513 0.7087
Se: 0.7779 0.1487 0.2913
Se: 0.0692 0.7087 0.1487
Se: 0.4245 0.0000 0.0000


This record from the Alexandria database describes an optimized crystal structure of CsSb2Se5. The functional is GGA-PBE.

space group = Immm
crystal system = orthorhombic

a b c (Å): 5.3730 8.4171 8.4171
angles (deg): 46.52 71.39 71.39
Fractional coordinates of all 8 atoms:
Cs: 0.0000 0.0000 0.0000
Sb: 0.8115 0.6885 0.6885
Sb: 0.1885 0.3115 0.3115
Se: 0.0000 0.5000 0.5000
Se: 0.6646 0.5345 0.1363
Se: 0.3354 0.4655 0.8637
Se: 0.3354 0.8637 0.4655
Se: 0.6646 0.1363 0.5345


This record from the Alexandria database describes an optimized crystal structure of CsSbSe2. The functional is GGA-PBE.

space group = P2_1/c
crystal system = monoclinic

a b c (Å): 10.2631 7.5800 8.0487
angles (deg): 77.53 90.00 90.00
Fractional coordinates of all 16 atoms:
Cs: 0.9365 0.2860 0.3460
Cs: 0.4365 0.2140 0.6540
Cs: 0.0635 0.7140 0.6540
Cs: 0.5635 0.7860 0.3460
Sb: 0.1650 0.8648 0.0885
Sb: 0.8350 0.1352 0.9115
Sb: 0.6650 0.6352 0.9115
Sb: 0.3350 0.3648 0.0885
Se: 0.0753 0.1971 0.8240
Se: 0.5753 0.3029 0.1760
Se: 0.9247 0.8029 0.1760
Se: 0.4247 0.6971 0.8240
Se: 0.2483 0.0441 0.3115
Se: 0.7483 0.4559 0.6885
Se: 0.7517 0.9559 0.6885
Se: 0.2517 0.5441 0.3115


This record from the Alexandria database describes an optimized crystal structure of Cs8Sb2Se. The functional is GGA-PBE.

space group = Immm
crystal system = orthorhombic

a b c (Å): 6.4625 8.8102 11.3669
angles (deg): 112.80 106.52 90.00
Fractional coordinates of all 11 atoms:
Cs: 0.6414 0.8872 0.2828
Cs: 0.3586 0.6044 0.7172
Cs: 0.1983 0.1985 0.3967
Cs: 0.0000 0.2565 0.0000
Cs: 0.8017 0.8015 0.6033
Cs: 0.6414 0.3956 0.2828
Cs: 0.3586 0.1128 0.7171
Cs: 0.0000 0.7435 0.0000
Sb: 0.1768 0.6768 0.3536
Sb: 0.8232 0.3232 0.6464
Se: 0.5000 0.0000 0.0000


This record from the Alexandria database describes an optimized crystal structure of Cs5Sb2Se5. The functional is GGA-PBE.

space group = C2/m
crystal system = monoclinic

a b c (Å): 5.1623 8.0869 13.3478
angles (deg): 104.32 90.00 108.61
Fractional coordinates of all 12 atoms:
Cs: 0.5000 0.0000 0.5000
Cs: 0.6579 0.3157 0.0638
Cs: 0.7688 0.5377 0.3629
Cs: 0.2312 0.4623 0.6371
Cs: 0.3421 0.6843 0.9362
Sb: 0.0380 0.0759 0.7949
Sb: 0.9620 0.9241 0.2051
Se: 0.1036 0.2073 0.3680
Se: 0.6234 0.2468 0.7828
Se: 0.3766 0.7532 0.2172
Se: 0.8964 0.7927 0.6320
Se: 0.0000 0.0000 0.0000


| no. | uncorrected formation energy (meV per atom) | calculated density (Mg/m³) |
| --- | --- | --- |
| 1 | -284 | 4.8 |
| 2 | 52 | 5.8 |
| 3 | 63 | 4.6 |
| 4 | -198 | 4.1 |
| 5 | 386 | 3.6 |
| 6 | 1268 | 4.5 |
| 7 | -374 | 5.3 |
| 8 | 485 | 2.3 |
| 9 | -343 | 4.7 |
| 10 | 333 | 3.8 |
| 11 | -469 | 5.5 |
| 12 | -450 | 3.6 |
| 13 | -934 | 4.4 |
| 14 | 1129 | 4.0 |
| 15 | -600 | 5.0 |
| 16 | -406 | 5.0 |
| 17 | 1406 | 4.5 |
| 18 | -811 | 4.3 |
| 19 | 1288 | 4.1 |
| 20 | 1735 | 4.0 |
| 21 | -748 | 3.8 |
| 22 | -151 | 4.9 |
| 23 | -723 | 4.5 |
| 24 | -538 | 4.1 |
| 25 | -817 | 4.2 |